Compound: CsNaAu
Source: the Alexandria database
Functional: PBE
Structure: optimized geometry

```
data_CsNaAu
_chemical_formula_sum 'Cs2 Na2 Au2'
_space_group_name_H-M_alt 'P 1'
_space_group_IT_number 1
_cell_length_a 9.1516
_cell_length_b 9.1516
_cell_length_c 9.1516
_cell_angle_alpha 146.32
_cell_angle_beta 146.32
_cell_angle_gamma 48.37
loop_
_space_group_symop_operation_xyz
'x,y,z'
loop_
_atom_site_label
_atom_site_type_symbol
_atom_site_fract_x
_atom_site_fract_y
_atom_site_fract_z
_atom_site_occupancy
Cs1 Cs 0.1809 0.1809 0.0000 1
Cs2 Cs 0.8191 0.8191 0.0000 1
Na1 Na 0.0000 0.5000 0.5000 1
Na2 Na 0.5000 0.0000 0.5000 1
Au1 Au 0.4108 0.4108 0.0000 1
Au2 Au 0.5892 0.5892 0.0000 1
```

Values from the calculation:
D(E_F) = 0.224 states/eV/atom
Final energy = -0.07576 Ha/atom
Energy above the lowest structure with this stoichiometry = 0.00 eV per formula unit